The following is a PBE-GGA calculation of GdHoPb after structural relaxation, from the Open Quantum Materials Database.

Summary:
crystal system	cubic
relative energy among the computed polymorphs	0	meV/atom
total magnetic moment	0.0	μB per formula unit

```
data_GdHoPb
_symmetry_space_group_name_H-M 'F -4 3 m'
_symmetry_Int_Tables_number 216
_symmetry_space_group_name_Hall 'F -4 2 3'
_cell_length_a 7.321
_cell_length_b 7.321
_cell_length_c 7.321
_cell_angle_alpha 90.00
_cell_angle_beta 90.00
_cell_angle_gamma 90.00
loop_
_atom_site_label
_atom_site_type_symbol
_atom_site_fract_x
_atom_site_fract_y
_atom_site_fract_z
Gd1 Gd 0.000 0.000 0.000
Ho1 Ho 0.000 0.000 0.500
Pb1 Pb 0.250 0.250 0.250
```

The following is a PBE-GGA calculation of GdHoPd2Pb after structural relaxation, from the Open Quantum Materials Database.

Summary:
total DFT energy (no corrections)	-5.47	eV/atom
crystal system	orthorhombic
total magnetic moment	0.0	μB per formula unit

```
data_GdHoPd2Pb
_symmetry_space_group_name_H-M 'A m m 2'
_symmetry_Int_Tables_number 38
_symmetry_space_group_name_Hall 'A 2 -2'
_cell_length_a 3.638
_cell_length_b 4.244
_cell_length_c 14.981
_cell_angle_alpha 90.00
_cell_angle_beta 90.00
_cell_angle_gamma 90.00
loop_
_atom_site_label
_atom_site_type_symbol
_atom_site_fract_x
_atom_site_fract_y
_atom_site_fract_z
Gd1 Gd 0.000 0.000 0.000
Ho1 Ho 0.000 0.000 0.730
Pd1 Pd 0.500 0.000 0.174
Pd2 Pd 0.500 0.000 0.559
Pb1 Pb 0.500 0.000 0.365
```